(1)
## Cr2FeTc (PBE-GGA)

Data for Cr2FeTc after structural relaxation.

abc: 8.4583 8.4583 8.4583
angles: 17.89 17.89 17.89
Last column: nearest neighbours and their distance in Å.
Fractional coordinates of all 4 atoms:
Cr: 0.9974 0.9974 0.9974  9 Cr 2.55-2.63, 3 Tc 2.62
Cr: 0.2486 0.2486 0.2486  3 Fe 2.47, 9 Cr 2.55-2.63
Tc: 0.7498 0.7498 0.7498  3 Cr 2.62, 6 Tc 2.63, 3 Fe 2.66
Fe: 0.5042 0.5042 0.5042  3 Cr 2.47, 6 Fe 2.63, 3 Tc 2.66

Results
DOS(E_F)   6.6 states/eV per cell
Distance to the lowest polymorph of the same formula   173 meV/atom
ΔH_f (0 K)   0.27 eV per atom
Total energy   -9.247 eV/atom
SG   No. 160

=====

(2)
## SbPS (PBE-GGA)

Data for SbPS after structural relaxation.

abc: 5.2271 5.5611 6.3888
angles: 89.21 72.56 73.77
Last column: nearest neighbours and their distance in Å.
Fractional coordinates of all 6 atoms:
S: 0.5982 0.9553 0.0937  1 P 2.01
S: 0.7201 0.3524 0.3989  1 P 2.13
P: 0.6502 0.9946 0.3886  2 S 2.01-2.13
P: 0.2742 0.9650 0.6647  1 P 2.26
Sb: 0.8778 0.3926 0.7300  1 S 2.52, 1 P 2.62
Sb: 0.1570 0.6955 0.3963  2 P 2.60-2.72

Results
Distance to the lowest polymorph of the same formula   39 meV/atom
Total energy   -4.548 eV/atom
SG   No. 1
Raw formation energy   0.005 eV/atom

=====

(3)
## Sc4Al2Zn (PBE-GGA)

Data for Sc4Al2Zn after structural relaxation.

abc: 4.7560 4.7560 8.1701
angles: 73.08 73.08 60.00
Last column: nearest neighbours and their distance in Å.
Fractional coordinates of all 7 atoms:
Sc: 0.3804 0.3804 0.8589  4 Al 2.85-2.95, 3 Zn 2.95
Sc: 0.8715 0.8715 0.3854  4 Al 2.87-2.96, 1 Zn 2.97
Sc: 0.1285 0.1285 0.6146  4 Al 2.87-2.96, 1 Zn 2.97
Sc: 0.6196 0.6196 0.1411  4 Al 2.85-2.95, 3 Zn 2.95
Al: 0.2527 0.2527 0.2420  8 Sc 2.85-2.96
Al: 0.7473 0.7473 0.7580  8 Sc 2.85-2.96
Zn: 0.0000 0.0000 0.0000  8 Sc 2.95-2.97

Results
DOS(E_F)   6.5 states/eV per cell
Distance to the lowest polymorph of the same formula   0 meV/atom
ΔH_f (0 K)   -0.25 eV per atom
Total energy   -5.115 eV/atom
SG   No. 166

=====

(4)
## KBaSe2N (PBE-GGA)

Data for KBaSe2N after structural relaxation.

abc: 6.2761 6.2761 5.3647
angles: 90.00 90.00 90.00
Last column: nearest neighbours and their distance in Å.
Fractional coordinates of all 5 atoms:
Se: 0.5000 0.0000 0.0000  2 Ba 3.14
Se: 0.0000 0.5000 0.0000  2 Ba 3.14
N: 0.0000 0.0000 0.5000  2 Ba 2.68
Ba: 0.0000 0.0000 0.0000  2 N 2.68
K: 0.5000 0.5000 0.5000  8 Se 4.13, 4 N 4.44

Results
DOS(E_F)   5.9 states/eV per cell
Distance to the lowest polymorph of the same formula   0 meV/atom
Total energy   -3.517 eV/atom
SG   No. 123
Raw formation energy   0.146 eV/atom

=====

(5)
## Nd6Sn2Te3Se (PBE-GGA)

Data for Nd6Sn2Te3Se after structural relaxation.

abc: 4.4716 8.9883 10.0369
angles: 103.57 102.87 90.00
Last column: nearest neighbours and their distance in Å.
Fractional coordinates of all 12 atoms:
Sn: 0.8342 0.6692 0.6683  6 Nd 3.10-3.15
Sn: 0.1658 0.3308 0.3317  6 Nd 3.10-3.15
Te: 0.1672 0.8341 0.3344  6 Nd 3.21-3.26
Te: 0.5000 0.5000 0.0000  6 Nd 3.20-3.27
Te: 0.8328 0.1659 0.6656  6 Nd 3.21-3.26
Nd: 0.9972 0.7636 0.9945  2 Se 3.08, 1 Sn 3.10, 3 Te 3.23-3.27
Nd: 0.3388 0.9128 0.6775  1 Se 3.06, 2 Sn 3.12, 3 Te 3.21-3.26
Nd: 0.6612 0.0872 0.3225  1 Se 3.06, 2 Sn 3.12, 3 Te 3.21-3.26
Nd: 0.3318 0.4230 0.6635  3 Sn 3.14-3.15, 3 Te 3.20-3.22
Nd: 0.6682 0.5770 0.3365  3 Sn 3.14-3.15, 3 Te 3.20-3.22
Nd: 0.0028 0.2364 0.0055  2 Se 3.08, 1 Sn 3.10, 3 Te 3.23-3.27
Se: 0.5000 0.0000 0.0000  6 Nd 3.06-3.08

Results
DOS(E_F)   5.1 states/eV per cell
Total energy   -5.432 eV/atom
SG   No. 12
Raw formation energy   -1.305 eV/atom

=====

(6)
## Ce2Mg3Ge4 (PBE-GGA)

Data for Ce2Mg3Ge4 after structural relaxation.

abc: 6.0664 8.1176 8.3985
angles: 90.00 111.17 90.00
Last column: nearest neighbours and their distance in Å.
Fractional coordinates of all 18 atoms:
Ge: 0.7078 0.7500 0.9156  3 Mg 2.62-2.65
Ge: 0.7922 0.2500 0.0844  3 Mg 2.62-2.65
Ge: 0.3161 0.4415 0.6323  5 Mg 2.72-2.96
Ge: 0.1839 0.9415 0.3677  5 Mg 2.72-2.96
Ge: 0.6839 0.5585 0.3677  5 Mg 2.72-2.96
Ge: 0.2922 0.2500 0.0844  3 Mg 2.62-2.65
Ge: 0.2078 0.7500 0.9156  3 Mg 2.62-2.65
Ge: 0.8161 0.0585 0.6323  5 Mg 2.72-2.96
Ce: 0.8859 0.4144 0.7719  8 Ge 3.09-3.37, 2 Mg 3.40
Ce: 0.1141 0.5856 0.2281  8 Ge 3.09-3.37, 2 Mg 3.40
Ce: 0.6141 0.9144 0.2281  8 Ge 3.09-3.37, 2 Mg 3.40
Ce: 0.3859 0.0856 0.7719  8 Ge 3.09-3.37, 2 Mg 3.40
Mg: 0.5000 0.5000 0.0000  6 Ge 2.62-2.92
Mg: 0.9612 0.2500 0.4224  5 Ge 2.65-2.96
Mg: 0.0388 0.7500 0.5776  5 Ge 2.65-2.96
Mg: 0.5388 0.7500 0.5776  5 Ge 2.65-2.96
Mg: 0.4612 0.2500 0.4224  5 Ge 2.65-2.96
Mg: 0.0000 0.0000 0.0000  6 Ge 2.62-2.92

Results
DOS(E_F)   12.9 states/eV per cell
ΔH_f (0 K)   -0.48 eV per atom
Total energy   -4.385 eV/atom
SG   No. 64

=====

(7)
## Rb2CaSe2O6 (PBE-GGA)

Data for Rb2CaSe2O6 after structural relaxation.

abc: 6.1180 6.1180 8.8703
angles: 69.83 69.83 60.00
Last column: nearest neighbours and their distance in Å.
Fractional coordinates of all 11 atoms:
Se: 0.5826 0.5826 0.2523  3 O 1.73
Se: 0.4174 0.4174 0.7477  3 O 1.73
Rb: 0.2751 0.2751 0.1746  9 O 3.07-3.16
Rb: 0.7249 0.7249 0.8254  9 O 3.07-3.16
O: 0.7600 0.3177 0.1623  1 Se 1.73
O: 0.7600 0.7600 0.1623  1 Se 1.73
O: 0.3177 0.7600 0.1623  1 Se 1.73
O: 0.2400 0.6823 0.8377  1 Se 1.73
O: 0.6823 0.2400 0.8377  1 Se 1.73
O: 0.2400 0.2400 0.8377  1 Se 1.73
Ca: 0.0000 0.0000 0.0000  6 O 2.37

Results
DOS(E_F)   0.0 states/eV per cell
Total energy   -5.336 eV/atom
SG   No. 166
Raw formation energy   -1.640 eV/atom

=====

(8)
## SrTbAl6 (PBE-GGA)

Data for SrTbAl6 after structural relaxation.

abc: 4.4582 6.1326 6.3268
angles: 90.00 90.00 90.00
Last column: nearest neighbours and their distance in Å.
Fractional coordinates of all 8 atoms:
Tb: 0.5000 0.3896 0.5000  12 Al 3.12-3.46
Al: 0.5000 0.8731 0.7195  6 Al 2.73-2.78
Al: 0.0000 0.1398 0.2527  5 Al 2.77-2.84
Al: 0.5000 0.2127 0.0000  6 Al 2.74-2.78
Al: 0.0000 0.7530 0.5000  6 Al 2.73-2.84
Al: 0.0000 0.1398 0.7473  5 Al 2.77-2.84
Al: 0.5000 0.8731 0.2805  6 Al 2.73-2.78
Sr: 0.0000 0.6191 0.0000  12 Al 3.25-3.57

Results
DOS(E_F)   3.8 states/eV per cell
ΔH_f (0 K)   -0.26 eV per atom
Total energy   -3.855 eV/atom
SG   No. 25

=====

(9)
## HoSi2IrRu (PBE-GGA)

Data for HoSi2IrRu after structural relaxation.

abc: 4.1291 4.1291 5.6694
angles: 111.36 111.36 90.00
Last column: nearest neighbours and their distance in Å.
Fractional coordinates of all 5 atoms:
Ru: 0.2500 0.7500 0.5000  4 Si 2.39
Ir: 0.7500 0.2500 0.5000  4 Si 2.39
Si: 0.6262 0.6262 0.2524  2 Ru 2.39, 2 Ir 2.39, 1 Si 2.45
Si: 0.3738 0.3738 0.7476  2 Ir 2.39, 2 Ru 2.39, 1 Si 2.45
Ho: 0.0000 0.0000 0.0000  8 Si 3.17, 4 Ir 3.19, 4 Ru 3.19

Results
DOS(E_F)   1.9 states/eV per cell
Total energy   -7.740 eV/atom
SG   No. 119
Raw formation energy   -1.028 eV/atom

=====

(10)
## BaNiIr2 (PBE-GGA)

Data for BaNiIr2 after structural relaxation.

abc: 2.9500 4.7780 5.2626
angles: 90.00 90.00 90.00
Last column: nearest neighbours and their distance in Å.
Fractional coordinates of all 4 atoms:
Ir: 0.0000 0.0000 0.0000  6 Ir 2.81-2.95, 4 Ni 3.02
Ir: 0.5000 0.5000 0.0000  6 Ir 2.81-2.95, 4 Ba 3.02
Ba: 0.0000 0.5000 0.5000  4 Ni 2.81, 2 Ba 2.95, 4 Ir 3.02
Ni: 0.5000 0.0000 0.5000  4 Ba 2.81, 2 Ni 2.95, 4 Ir 3.02

Results
DOS(E_F)   5.5 states/eV per cell
ΔH_f (0 K)   0.74 eV per atom
Total energy   -5.619 eV/atom
SG   No. 47

=====

(11)
## Nd6NiPd2 (PBE-GGA)

Data for Nd6NiPd2 after structural relaxation.

abc: 6.7347 7.4474 10.4094
angles: 90.00 92.36 90.00
Last column: nearest neighbours and their distance in Å.
Fractional coordinates of all 18 atoms:
Nd: 0.8495 0.9636 0.2450  1 Ni 2.81, 2 Pd 2.97-3.01
Nd: 0.1684 0.3169 0.0659  1 Ni 2.73, 1 Pd 2.95
Nd: 0.1505 0.0364 0.7550  1 Ni 2.81, 2 Pd 2.97-3.01
Nd: 0.6716 0.1754 0.9306  1 Ni 2.79, 2 Pd 2.99-3.03
Nd: 0.3495 0.5364 0.7450  1 Ni 2.81, 2 Pd 2.97-3.01
Nd: 0.3284 0.8246 0.0694  1 Ni 2.79, 2 Pd 2.99-3.03
Nd: 0.3316 0.8169 0.4341  1 Ni 2.73, 1 Pd 2.95
Nd: 0.8284 0.6754 0.5694  1 Ni 2.79, 2 Pd 2.99-3.03
Nd: 0.8316 0.6831 0.9341  1 Ni 2.73, 1 Pd 2.95
Nd: 0.6684 0.1831 0.5659  1 Ni 2.73, 1 Pd 2.95
Nd: 0.6505 0.4636 0.2550  1 Ni 2.81, 2 Pd 2.97-3.01
Nd: 0.1716 0.3246 0.4306  1 Ni 2.79, 2 Pd 2.99-3.03
Pd: 0.4377 0.1154 0.2631  6 Nd 2.95-3.07
Pd: 0.0623 0.6154 0.2369  6 Nd 2.95-3.07
Pd: 0.9377 0.3846 0.7631  6 Nd 2.95-3.07
Pd: 0.5623 0.8846 0.7369  6 Nd 2.95-3.07
Ni: 0.5000 0.5000 0.0000  6 Nd 2.73-2.81
Ni: 0.0000 0.0000 0.5000  6 Nd 2.73-2.81

Results
DOS(E_F)   19.3 states/eV per cell
ΔH_f (0 K)   -0.39 eV per atom
Total energy   -5.364 eV/atom
SG   No. 14

=====

(12)
## PPd3Se (PBE-GGA)

Data for PPd3Se after structural relaxation.

abc: 4.5251 4.5251 4.5251
angles: 90.00 90.00 90.00
Last column: nearest neighbours and their distance in Å.
Fractional coordinates of all 5 atoms:
Se: 0.5000 0.5000 0.5000  12 Pd 3.20
Pd: 0.5000 0.0000 0.0000  2 P 2.26
Pd: 0.0000 0.5000 0.0000  2 P 2.26
Pd: 0.0000 0.0000 0.5000  2 P 2.26
P: 0.0000 0.0000 0.0000  6 Pd 2.26

Results
DOS(E_F)   3.1 states/eV per cell
Distance to the lowest polymorph of the same formula   286 meV/atom
Total energy   -4.888 eV/atom
SG   No. 221
Raw formation energy   0.007 eV/atom

=====

- total energy of number 11 (Nd6NiPd2)?
  -5.364 eV/atom

=====

- Which formula does entry 5 have?
  Nd6Sn2Te3Se